[1]
! AcNd2Se PBE optimized geometry; values from VASP
! density of states at the Fermi level = 5.8 states/eV/f.u.
! symmetry = R-3m
! spin magnetization = 0.001 μB per atom
! energy relative to the elements, uncorrected = -0.648 eV per atom
! VASP energy = -4.9303 eV/atom
&SYSTEM
  ibrav = 0, nat = 4, ntyp = 3
/
ATOMIC_SPECIES
Ac 227.00 Ac.upf
Nd 144.24 Nd.upf
Se 78.96 Se.upf
CELL_PARAMETERS angstrom
1.974 1.140 10.915
-1.974 1.140 10.915
0.000 -2.279 10.915
ATOMIC_POSITIONS angstrom
Ac 0.000 0.000 0.000
Nd 0.000 0.000 3.663
Nd 0.000 0.000 29.083
Se 0.000 0.000 16.373

***

[2]
! Pa2GaGe3Pd4 PBE optimized geometry; values from VASP
! density of states at the Fermi level = 7.0 states/eV/f.u.
! symmetry = P-4m2
! spin magnetization = 0.000 μB per atom
! VASP energy = -6.2801 eV/atom
! formation enthalpy at 0 K = -0.616 eV/atom
&SYSTEM
  ibrav = 0, nat = 10, ntyp = 4
/
ATOMIC_SPECIES
Pa 231.04 Pa.upf
Ga 69.72 Ga.upf
Ge 72.64 Ge.upf
Pd 106.42 Pd.upf
CELL_PARAMETERS angstrom
4.253 0.000 0.000
0.000 4.253 0.000
0.000 0.000 10.221
ATOMIC_POSITIONS angstrom
Pa 0.000 2.127 2.519
Pa 2.127 0.000 7.702
Ga 0.000 0.000 5.111
Ge 0.000 2.127 8.853
Ge 2.127 0.000 1.368
Ge 2.127 2.127 5.111
Pd 0.000 0.000 0.000
Pd 0.000 2.127 6.451
Pd 2.127 0.000 3.771
Pd 2.127 2.127 0.000

***

[3]
! TiSnP3 PBE optimized geometry; values from VASP
! density of states at the Fermi level = 6.8 states/eV/f.u.
! symmetry = Pm-3m
! spin magnetization = 0.000 μB per atom
! VASP energy = -4.4245 eV/atom
! formation enthalpy at 0 K = 1.201 eV/atom
&SYSTEM
  ibrav = 0, nat = 5, ntyp = 3
/
ATOMIC_SPECIES
Ti 47.87 Ti.upf
Sn 118.71 Sn.upf
P 30.97 P.upf
CELL_PARAMETERS angstrom
4.923 0.000 0.000
0.000 4.923 0.000
0.000 0.000 4.923
ATOMIC_POSITIONS angstrom
Ti 0.000 0.000 0.000
Sn 2.462 2.462 2.462
P 0.000 2.462 2.462
P 2.462 0.000 2.462
P 2.462 2.462 0.000

***

[4]
! TaAlRh2Pb PBE optimized geometry; values from VASP
! density of states at the Fermi level = 7.4 states/eV/f.u.
! symmetry = P4/mmm
! spin magnetization = 0.447 μB per atom
! VASP energy = -5.0895 eV/atom
! formation enthalpy at 0 K = 1.712 eV/atom
&SYSTEM
  ibrav = 0, nat = 5, ntyp = 4
/
ATOMIC_SPECIES
Ta 180.95 Ta.upf
Al 26.98 Al.upf
Rh 102.91 Rh.upf
Pb 207.20 Pb.upf
CELL_PARAMETERS angstrom
4.910 0.000 0.000
0.000 4.910 0.000
0.000 0.000 5.196
ATOMIC_POSITIONS angstrom
Ta 0.000 0.000 0.000
Al 2.455 2.455 0.000
Rh 0.000 2.455 2.598
Rh 2.455 0.000 2.598
Pb 0.000 0.000 2.598

***

> Which value of spin magnetization does entry 2 give?

0.000 μB per atom